PBE-GGA RbCd2Ag, optimized geometry; E_form = 0.07 eV per atom; relative energy among the computed polymorphs = 129 meV per atom; calculated density = 4.546 g/cm3; SG = I4_1/amd (141); E = -1.34 eV per atom
1.0
5.565 0.000 0.000
0.000 5.565 0.000
0.000 0.000 19.726
Rb Cd Ag
4 8 4
Direct
0.000 0.250 0.375
0.000 0.750 0.625
0.500 0.250 0.125
0.500 0.750 0.875
0.000 0.000 0.000
0.000 0.500 0.000
0.250 0.250 0.750
0.250 0.750 0.250
0.500 0.000 0.500
0.500 0.500 0.500
0.750 0.250 0.750
0.750 0.750 0.250
0.000 0.250 0.875
0.000 0.750 0.125
0.500 0.250 0.625
0.500 0.750 0.375

PBE-GGA CsCaCeCl6, optimized geometry; calculated density = 2.359 g/cm3; SG = Imma (74); uncorrected formation energy = -19.8 eV per formula unit; E = -4.41 eV per atom
1.0
-4.958 5.150 7.247
4.958 -5.150 7.247
4.958 5.150 -7.247
Cs Ca Ce Cl
2 2 2 12
Direct
0.302 0.052 0.250
0.698 0.948 0.750
0.000 0.000 0.500
0.000 0.500 0.000
0.000 0.500 0.500
0.500 0.500 0.000
0.063 0.411 0.235
0.063 0.827 0.651
0.069 0.819 0.250
0.324 0.173 0.735
0.324 0.589 0.151
0.325 0.575 0.750
0.675 0.425 0.250
0.676 0.411 0.849
0.676 0.827 0.265
0.931 0.181 0.750
0.937 0.173 0.349
0.937 0.589 0.765

PBE-GGA NaLiSb2I, optimized geometry; relative energy among the computed polymorphs = 0 meV per atom; calculated density = 4.054 g/cm3; SG = P4/mmm (123); uncorrected formation energy = -0.3 eV per formula unit; E = -2.67 eV per atom
1.0
4.929 0.000 0.000
0.000 4.929 0.000
0.000 0.000 6.749
Na Li Sb I
1 1 2 1
Direct
0.000 0.000 0.000
0.500 0.500 0.500
0.000 0.500 0.500
0.500 0.000 0.500
0.500 0.500 0.000

PBE-GGA CdP2RuO, optimized geometry; relative energy among the computed polymorphs = 1268 meV per atom; calculated density = 5.028 g/cm3; SG = P4/mmm (123); uncorrected formation energy = 6.8 eV per formula unit; E = -3.84 eV per atom
1.0
4.946 0.000 0.000
0.000 4.946 0.000
0.000 0.000 3.933
Cd P Ru O
1 2 1 1
Direct
0.000 0.000 0.000
0.000 0.500 0.000
0.500 0.000 0.000
0.500 0.500 0.500
0.000 0.000 0.500

PBE-GGA Li2FeMo, optimized geometry; E_form = 0.38 eV per atom; relative energy among the computed polymorphs = 152 meV per atom; calculated density = 4.827 g/cm3; SG = R-3m (166); E = -5.40 eV per atom
1.0
2.623 0.000 0.000
-1.312 2.272 0.000
0.000 0.000 28.689
Li Fe Mo
6 3 3
Direct
0.000 0.000 0.246
0.000 0.000 0.754
0.333 0.667 0.420
0.333 0.667 0.913
0.667 0.333 0.087
0.667 0.333 0.580
0.000 0.000 0.500
0.333 0.667 0.167
0.667 0.333 0.833
0.000 0.000 0.000
0.333 0.667 0.667
0.667 0.333 0.333

PBE-GGA InTcTeN2, optimized geometry; relative energy among the computed polymorphs = 1261 meV per atom; calculated density = 5.655 g/cm3; SG = P4/mmm (123); uncorrected formation energy = 9.4 eV per formula unit; E = -4.71 eV per atom
1.0
4.220 0.000 0.000
0.000 4.220 0.000
0.000 0.000 6.075
In Tc Te N
1 1 1 2
Direct
0.000 0.000 0.000
0.500 0.500 0.500
0.000 0.000 0.500
0.000 0.500 0.000
0.500 0.000 0.000

PBE-GGA Ta2FeHPd, optimized geometry; calculated density = 13.753 g/cm3; SG = P4/mmm (123); E = -8.25 eV per atom
1.0
4.070 0.000 0.000
0.000 4.070 0.000
0.000 0.000 3.828
Ta Fe H Pd
2 1 1 1
Direct
0.000 0.500 0.000
0.500 0.000 0.000
0.000 0.000 0.500
0.000 0.000 0.000
0.500 0.500 0.500

PBE-GGA BeCd2, optimized geometry; E_form = 0.39 eV per atom; relative energy among the computed polymorphs = 146 meV per atom; calculated density = 7.169 g/cm3; SG = P-62m (189); E = -1.46 eV per atom
1.0
6.731 0.000 0.000
-3.365 5.829 0.000
0.000 0.000 4.142
Be Cd
3 6
Direct
0.000 0.000 0.000
0.333 0.667 0.500
0.667 0.333 0.500
0.000 0.257 0.500
0.000 0.592 0.000
0.257 0.000 0.500
0.408 0.408 0.000
0.592 0.000 0.000
0.743 0.743 0.500

PBE-GGA Er2SeS, optimized geometry; relative energy among the computed polymorphs = 0 meV per atom; calculated density = 8.410 g/cm3; SG = R3m (160); uncorrected formation energy = -7.4 eV per formula unit; E = -6.04 eV per atom
1.0
3.858 0.000 0.000
-1.929 3.341 0.000
0.000 0.000 20.475
Er Se S
6 3 3
Direct
0.000 0.000 0.000
0.000 0.000 0.185
0.333 0.667 0.667
0.333 0.667 0.852
0.667 0.333 0.333
0.667 0.333 0.518
0.000 0.000 0.760
0.333 0.667 0.427
0.667 0.333 0.094
0.000 0.000 0.590
0.333 0.667 0.257
0.667 0.333 0.924

PBE-GGA Pa2TeO6, optimized geometry; calculated density = 6.615 g/cm3; SG = C2/m (12); uncorrected formation energy = -24.0 eV per formula unit; E = -8.44 eV per atom
1.0
3.028 -5.443 0.000
3.028 5.443 0.000
-1.426 0.000 5.221
Pa Te O
2 1 6
Direct
0.172 0.828 0.000
0.828 0.172 0.000
0.500 0.500 0.500
0.055 0.445 0.794
0.181 0.181 0.212
0.445 0.055 0.794
0.555 0.945 0.206
0.819 0.819 0.788
0.945 0.555 0.206

PBE-GGA PaVNi, optimized geometry; E_form = -0.13 eV per atom; relative energy among the computed polymorphs = 0 meV per atom; calculated density = 11.186 g/cm3; SG = Cmme (67); E = -8.26 eV per atom
1.0
5.049 0.000 0.000
0.000 5.086 0.000
0.000 0.000 7.877
Pa V Ni
4 4 4
Direct
0.000 0.250 0.144
0.000 0.750 0.856
0.500 0.250 0.856
0.500 0.750 0.144
0.250 0.000 0.500
0.250 0.500 0.500
0.750 0.000 0.500
0.750 0.500 0.500
0.000 0.250 0.742
0.000 0.750 0.258
0.500 0.250 0.258
0.500 0.750 0.742

PBE-GGA LiNb3O6, optimized geometry; calculated density = 5.508 g/cm3; SG = R3 (146); uncorrected formation energy = -22.7 eV per formula unit; E = -8.46 eV per atom
1.0
2.608 1.505 4.886
-2.608 1.505 4.886
0.000 -3.011 4.886
Li Nb O
1 3 6
Direct
0.000 0.000 0.000
0.202 0.202 0.202
0.518 0.518 0.518
0.703 0.703 0.703
0.096 0.801 0.432
0.302 0.598 0.939
0.432 0.096 0.801
0.598 0.939 0.302
0.801 0.432 0.096
0.939 0.302 0.598

PBE-GGA Er6SiSb2, optimized geometry; calculated density = 8.507 g/cm3; SG = P2_1/c (14); uncorrected formation energy = -5.6 eV per formula unit; E = -5.19 eV per atom
1.0
6.222 0.000 0.000
0.000 8.070 0.000
-6.150 0.000 9.915
Er Si Sb
12 2 4
Direct
0.082 0.185 0.452
0.082 0.315 0.952
0.323 0.675 0.453
0.323 0.825 0.953
0.359 0.032 0.234
0.359 0.468 0.734
0.641 0.532 0.266
0.641 0.968 0.766
0.677 0.175 0.047
0.677 0.325 0.547
0.918 0.685 0.048
0.918 0.815 0.548
0.500 0.000 0.500
0.500 0.500 0.000
0.157 0.115 0.748
0.157 0.385 0.248
0.843 0.615 0.752
0.843 0.885 0.252

PBE-GGA Ho2BeSiPd6, optimized geometry; calculated density = 9.480 g/cm3; SG = P-1 (2); uncorrected formation energy = -7.1 eV per formula unit; E = -5.66 eV per atom
1.0
5.691 0.000 0.000
2.844 5.128 0.000
2.843 -1.341 6.035
Ho Be Si Pd
2 1 1 6
Direct
0.025 0.253 0.184
0.975 0.747 0.816
0.500 0.000 0.500
0.500 0.500 0.000
0.027 0.215 0.737
0.404 0.334 0.337
0.457 0.788 0.276
0.543 0.212 0.724
0.596 0.666 0.663
0.973 0.785 0.263

PBE-GGA Tb4ZnCu2Ru, optimized geometry; E_form = -0.31 eV per atom; calculated density = 9.031 g/cm3; SG = R-3m (166); E = -4.97 eV per atom
1.0
2.478 1.431 8.032
-2.478 1.431 8.032
0.000 -2.861 8.032
Tb Zn Cu Ru
4 1 2 1
Direct
0.120 0.120 0.120
0.371 0.371 0.371
0.629 0.629 0.629
0.880 0.880 0.880
0.500 0.500 0.500
0.245 0.245 0.245
0.755 0.755 0.755
0.000 0.000 0.000

PBE-GGA Pm11Hg9Rh4, optimized geometry; E_form = -0.59 eV per atom; calculated density = 10.381 g/cm3; SG = Cmmm (65); E = -4.11 eV per atom
1.0
7.340 -11.019 0.000
7.340 11.019 0.000
0.000 0.000 3.769
Pm Hg Rh
11 9 4
Direct
0.000 0.000 0.000
0.080 0.416 0.000
0.165 0.835 0.000
0.305 0.305 0.000
0.372 0.628 0.000
0.416 0.080 0.000
0.584 0.920 0.000
0.628 0.372 0.000
0.695 0.695 0.000
0.835 0.165 0.000
0.920 0.584 0.000
0.067 0.214 0.500
0.155 0.632 0.500
0.214 0.067 0.500
0.368 0.845 0.500
0.500 0.500 0.500
0.632 0.155 0.500
0.786 0.933 0.500
0.845 0.368 0.500
0.933 0.786 0.500
0.251 0.450 0.500
0.450 0.251 0.500
0.550 0.749 0.500
0.749 0.550 0.500

PBE-GGA RbTe6RhAu, optimized geometry; calculated density = 6.273 g/cm3; SG = Imma (74); uncorrected formation energy = -1.8 eV per formula unit; E = -3.59 eV per atom
1.0
-4.644 4.918 6.670
4.644 -4.918 6.670
4.644 4.918 -6.670
Rb Te Rh Au
2 12 2 2
Direct
0.378 0.128 0.250
0.622 0.872 0.750
0.102 0.852 0.250
0.106 0.399 0.237
0.106 0.870 0.707
0.338 0.130 0.737
0.338 0.601 0.207
0.347 0.597 0.750
0.653 0.403 0.250
0.662 0.399 0.793
0.662 0.870 0.263
0.894 0.130 0.293
0.894 0.601 0.763
0.898 0.148 0.750
0.000 0.000 0.500
0.000 0.500 0.000
0.000 0.500 0.500
0.500 0.500 0.000

PBE-GGA HfGaGe2, optimized geometry; E_form = -0.06 eV per atom; relative energy among the computed polymorphs = 115 meV per atom; calculated density = 8.314 g/cm3; SG = R-3m (166); E = -5.61 eV per atom
1.0
3.067 0.000 0.000
-1.534 2.656 0.000
0.000 0.000 28.936
Hf Ga Ge
3 3 6
Direct
0.000 0.000 0.000
0.333 0.667 0.667
0.667 0.333 0.333
0.000 0.000 0.500
0.333 0.667 0.167
0.667 0.333 0.833
0.000 0.000 0.411
0.000 0.000 0.589
0.333 0.667 0.077
0.333 0.667 0.256
0.667 0.333 0.744
0.667 0.333 0.923

PBE-GGA SrTl6Hg, optimized geometry; E_form = -0.10 eV per atom; relative energy among the computed polymorphs = 18 meV per atom; calculated density = 10.187 g/cm3; SG = Amm2 (38); E = -2.13 eV per atom
1.0
5.772 0.000 0.000
0.000 7.021 0.000
0.000 0.000 12.184
Sr Tl Hg
2 12 2
Direct
0.000 0.000 0.000
0.000 0.500 0.500
0.000 0.000 0.501
0.000 0.249 0.750
0.000 0.251 0.250
0.000 0.500 0.001
0.000 0.749 0.250
0.000 0.751 0.750
0.500 0.000 0.828
0.500 0.241 0.587
0.500 0.259 0.087
0.500 0.500 0.328
0.500 0.741 0.087
0.500 0.759 0.587
0.500 0.000 0.334
0.500 0.500 0.834

PBE-GGA SmDy2Tm5, optimized geometry; E_form = 0.00 eV per atom; calculated density = 8.846 g/cm3; SG = P2_1/c (14); E = -4.53 eV per atom
1.0
7.133 0.000 0.000
0.000 22.503 0.000
-3.557 0.000 6.175
Sm Dy Tm
4 8 20
Direct
0.082 0.126 0.416
0.082 0.374 0.916
0.918 0.626 0.084
0.918 0.874 0.584
0.251 0.501 0.750
0.251 0.999 0.250
0.418 0.626 0.584
0.418 0.874 0.084
0.582 0.126 0.916
0.582 0.374 0.416
0.749 0.001 0.750
0.749 0.499 0.250
0.082 0.126 0.916
0.082 0.374 0.416
0.249 0.250 0.249
0.249 0.250 0.749
0.251 0.000 0.751
0.251 0.500 0.251
0.251 0.749 0.751
0.251 0.751 0.251
0.418 0.626 0.084
0.418 0.874 0.584
0.582 0.126 0.416
0.582 0.374 0.916
0.749 0.000 0.249
0.749 0.249 0.749
0.749 0.251 0.249
0.749 0.500 0.749
0.751 0.750 0.251
0.751 0.750 0.751
0.918 0.626 0.584
0.918 0.874 0.084

PBE-GGA NdHoErHg, optimized geometry; E_form = -0.23 eV per atom; relative energy among the computed polymorphs = 0 meV per atom; calculated density = 9.605 g/cm3; SG = P4mm (99); E = -3.79 eV per atom
1.0
3.628 0.000 0.000
0.000 3.628 0.000
0.000 0.000 8.893
Nd Ho Er Hg
1 1 1 1
Direct
0.000 0.000 0.000
0.500 0.500 0.716
0.500 0.500 0.283
0.000 0.000 0.497

PBE-GGA CeSmHo2N4, optimized geometry; calculated density = 9.173 g/cm3; SG = P2/m (10); uncorrected formation energy = -12.9 eV per formula unit; E = -8.25 eV per atom
1.0
6.076 0.000 0.000
0.000 3.514 0.000
-2.009 0.000 5.734
Ce Sm Ho N
1 1 2 4
Direct
0.000 0.000 0.000
0.000 0.500 0.500
0.500 0.000 0.500
0.500 0.500 0.000
0.255 0.000 0.758
0.255 0.500 0.248
0.745 0.000 0.242
0.745 0.500 0.752